A) CsTaTe3, optimized geometry, DFT PBE; space group = P2_1/c, No. 14; V = 36.81 Å³/atom
1.0
10.453 0.000 0.000
0.000 7.120 0.000
-2.012 0.000 9.893
Cs Ta Te
4 4 12
direct
0.101 0.104 0.201
0.101 0.396 0.701
0.899 0.604 0.299
0.899 0.896 0.799
0.408 0.731 0.565
0.408 0.769 0.065
0.592 0.231 0.935
0.592 0.269 0.435
0.182 0.614 0.081
0.182 0.886 0.581
0.328 0.084 0.932
0.328 0.416 0.432
0.452 0.578 0.830
0.452 0.922 0.330
0.548 0.078 0.670
0.548 0.422 0.170
0.672 0.584 0.568
0.672 0.916 0.068
0.818 0.114 0.419
0.818 0.386 0.919



B) CsTaTe3, optimized geometry, DFT PBE; space group = Pm-3m, No. 221; V = 46.32 Å³/atom
1.0
6.141 0.000 0.000
0.000 6.141 0.000
0.000 0.000 6.141
Cs Ta Te
1 1 3
direct
0.000 0.000 0.000
0.500 0.500 0.500
0.000 0.000 0.500
0.000 0.500 0.000
0.500 0.000 0.000



A) ends up most stable, edging out the next structure by 242.2 kJ/mol of atoms.



A) CsTa2Ti, optimized geometry, DFT PBE; space group = I-42d, No. 122; V = 27.61 Å³/atom
1.0
4.743 0.000 0.000
0.000 4.743 0.000
0.000 0.000 19.636
Cs Ta Ti
4 8 4
direct
0.000 0.000 0.000
0.000 0.500 0.250
0.500 0.000 0.750
0.500 0.500 0.500
0.117 0.750 0.625
0.250 0.117 0.375
0.250 0.383 0.875
0.383 0.750 0.125
0.617 0.250 0.125
0.750 0.617 0.875
0.750 0.883 0.375
0.883 0.250 0.625
0.000 0.000 0.500
0.000 0.500 0.750
0.500 0.000 0.250
0.500 0.500 0.000



B) CsTa2Ti, optimized geometry, DFT PBE; space group = Fm-3m, No. 225; V = 20.86 Å³/atom
1.0
6.937 0.000 0.000
0.000 6.937 0.000
0.000 0.000 6.937
Cs Ta Ti
4 8 4
direct
0.000 0.000 0.000
0.000 0.500 0.500
0.500 0.000 0.500
0.500 0.500 0.000
0.250 0.250 0.250
0.250 0.250 0.750
0.250 0.750 0.250
0.250 0.750 0.750
0.750 0.250 0.250
0.750 0.250 0.750
0.750 0.750 0.250
0.750 0.750 0.750
0.000 0.000 0.500
0.000 0.500 0.000
0.500 0.000 0.000
0.500 0.500 0.500



B) ends up most stable, edging out the next structure by 12.0 kJ/mol of atoms.